# HfTeN2F

A relaxed structure of HfTeN2F (PBE, Alexandria via LeMat-Bulk).

Lattice parameters (Å, degrees): 4.255 4.255 4.115 90.00 90.00 90.00
Each line ends with the local moment (μB).
Fractional positions:
N (0.000, 0.500, 0.000)  -0.03
N (0.500, 0.000, 0.000)  -0.03
Te (0.000, 0.000, 0.000)  0.00
Hf (0.500, 0.500, 0.500)  0.74
F (0.000, 0.000, 0.500)  0.03

Calculated values
Fermi-level density of states in states/eV per atom: 0.68
Relative energy among the computed polymorphs in eV per formula unit: 6.187
VASP energy in eV/atom: -5.6546
Formation energy from raw total energies in eV per formula unit: 3.34

---

# HfTiN2F

A relaxed structure of HfTiN2F (PBE, Alexandria via LeMat-Bulk).

Lattice parameters (Å, degrees): 3.991 3.991 3.659 90.00 90.00 90.00
Each line ends with the local moment (μB).
Fractional positions:
N (0.000, 0.500, 0.000)  -0.01
N (0.500, 0.000, 0.000)  -0.01
F (0.000, 0.000, 0.500)  0.01
Hf (0.500, 0.500, 0.500)  0.18
Ti (0.000, 0.000, 0.000)  0.07

Calculated values
Fermi-level density of states in states/eV per atom: 0.60
Relative energy among the computed polymorphs in eV per formula unit: 0.000
VASP energy in eV/atom: -8.3307
Formation energy from raw total energies in eV per formula unit: -5.28

---

# HfTiN2F

A relaxed structure of HfTiN2F (PBE, Alexandria via LeMat-Bulk).

Lattice parameters (Å, degrees): 4.208 4.208 3.917 90.00 90.00 90.00
Each line ends with the local moment (μB).
Fractional positions:
N (0.000, 0.500, 0.000)  -0.16
N (0.500, 0.000, 0.000)  -0.16
F (0.000, 0.000, 0.500)  0.02
Hf (0.000, 0.000, 0.000)  -0.01
Ti (0.500, 0.500, 0.500)  1.29

Calculated values
Fermi-level density of states in states/eV per atom: 0.84
Relative energy among the computed polymorphs in eV per formula unit: 0.910
VASP energy in eV/atom: -8.1487
Formation energy from raw total energies in eV per formula unit: -4.37

---

What is the formula in the first record?
HfTeN2F